# 1
The following is a PBE calculation of crystalline Y2Mn2Rh at its relaxed geometry, from Alexandria. Values from VASP.

Geometry as Quantum ESPRESSO input:
```
&SYSTEM
  ibrav = 0, nat = 5, ntyp = 3
/
ATOMIC_SPECIES
Mn 54.94 Mn.upf
Y 88.91 Y.upf
Rh 102.91 Rh.upf
CELL_PARAMETERS angstrom
4.2907 0.0000 0.0000
0.0000 4.2907 0.0000
2.1453 2.1453 5.6627
ATOMIC_POSITIONS crystal
Mn 0.4122 0.4122 0.1755
Y 0.2500 0.7500 0.5000
Y 0.7500 0.2500 0.5000
Rh 0.0000 0.0000 0.0000
Mn 0.5878 0.5878 0.8245
```

Computed properties:
formation energy: 0.853 eV/atom
total energy: -6.8704 eV/atom
volume: 104.2 Å³/cell
theoretical density: 6.22 Mg/m³
magnetic moment: 5.06 μB/cell
distance to the lowest polymorph of the same formula: 0.896 eV/atom



# 2
The following is a PBE calculation of crystalline Ti3NbSi at its relaxed geometry, from Alexandria. Values from VASP.

Geometry as Quantum ESPRESSO input:
```
&SYSTEM
  ibrav = 0, nat = 5, ntyp = 3
/
ATOMIC_SPECIES
Si 28.09 Si.upf
Nb 92.91 Nb.upf
Ti 47.87 Ti.upf
CELL_PARAMETERS angstrom
-0.6836 1.5041 -4.2824
-4.4883 0.4206 0.8642
0.6756 4.3161 1.4081
ATOMIC_POSITIONS crystal
Si 0.0000 0.0000 0.0000
Nb 0.5000 0.5000 0.5000
Ti 0.0000 0.0000 0.5000
Ti 0.5000 0.0000 0.0000
Ti 0.0000 0.5000 0.0000
```

Computed properties:
total energy: -7.3975 eV/atom
energy relative to the elements, uncorrected: 2.190 eV per formula unit
volume: 96.7 Å³/cell
theoretical density: 4.54 Mg/m³
magnetic moment: 0.00 μB/cell
distance to the lowest polymorph of the same formula: 0.000 eV/atom



# 3
The following is a PBE calculation of crystalline Pm3Al2SnPd9 at its relaxed geometry, from Alexandria. Values from VASP.

Geometry as Quantum ESPRESSO input:
```
&SYSTEM
  ibrav = 0, nat = 15, ntyp = 4
/
ATOMIC_SPECIES
Pm 145.00 Pm.upf
Pd 106.42 Pd.upf
Al 26.98 Al.upf
Sn 118.71 Sn.upf
CELL_PARAMETERS angstrom
5.7374 0.0000 0.0000
-2.8687 4.9687 0.0000
0.0000 0.0000 11.6483
ATOMIC_POSITIONS crystal
Pm 0.0000 0.0000 0.0000
Pd 0.3297 0.1649 0.6832
Pd 0.5000 0.5000 0.0000
Pm 0.6667 0.3333 0.2444
Pd 0.1649 0.3297 0.3168
Pm 0.3333 0.6667 0.7556
Al 0.3333 0.6667 0.1618
Pd 0.0000 0.5000 0.0000
Pd 0.6703 0.8351 0.3168
Al 0.6667 0.3333 0.8382
Pd 0.8351 0.6703 0.6832
Pd 0.8351 0.1649 0.6832
Pd 0.5000 0.0000 0.0000
Pd 0.1649 0.8351 0.3168
Sn 0.0000 0.0000 0.5000
```

Computed properties:
formation energy: -0.624 eV/atom
total energy: -5.4555 eV/atom
volume: 332.1 Å³/cell
theoretical density: 7.83 Mg/m³
magnetic moment: 0.00 μB/cell